(1)
Density functional theory data (PBE) for a relaxed structure of Be2GeMo. Values from VASP.

Output
The total energy is -21.2 eV for the cell shown. The calculation puts the volume at 50 Å³ per cell.

The structure in Quantum ESPRESSO input format:
```
&SYSTEM
  ibrav = 0, nat = 4, ntyp = 3
/
ATOMIC_SPECIES
Be 9.01 Be.upf
Ge 72.64 Ge.upf
Mo 95.94 Mo.upf
ATOMIC_POSITIONS angstrom
Be 0.000 0.000 0.000
Be 4.385 4.385 4.385
Ge 2.923 2.923 2.923
Mo 1.462 1.462 1.462
CELL_PARAMETERS angstrom
0.000 2.923 2.923
2.923 0.000 2.923
2.923 2.923 0.000
```

(2)
Density functional theory data (PBE) for a relaxed structure of ErTm6Lu. Values from VASP.

Output
The total energy is -35.9 eV for the cell shown. The value obtained for the formation energy is 0.00 eV per atom. The calculation puts the volume at 239 Å³ per cell.

The structure in Quantum ESPRESSO input format:
```
&SYSTEM
  ibrav = 0, nat = 8, ntyp = 3
/
ATOMIC_SPECIES
Tm 168.93 Tm.upf
Er 167.26 Er.upf
Lu 174.97 Lu.upf
ATOMIC_POSITIONS angstrom
Tm -0.003 1.095 -3.365
Tm -2.154 -1.519 -2.361
Tm -4.829 0.181 -3.663
Tm -2.154 -0.424 -5.717
Tm -2.678 1.700 -1.310
Tm -2.678 2.795 -4.667
Er 0.000 0.000 0.000
Lu -4.832 -0.920 -0.300
CELL_PARAMETERS angstrom
-0.001 2.195 -6.727
-4.310 -5.240 2.012
-3.916 3.683 1.202
```

(3)
Density functional theory data (PBE) for a relaxed structure of MgSi2Ir. Values from VASP.

Output
The total energy is -21.1 eV for the cell shown. The calculation puts the volume at 60 Å³ per cell.

The structure in Quantum ESPRESSO input format:
```
&SYSTEM
  ibrav = 0, nat = 4, ntyp = 3
/
ATOMIC_SPECIES
Ir 192.22 Ir.upf
Si 28.09 Si.upf
Mg 24.30 Mg.upf
ATOMIC_POSITIONS angstrom
Ir -0.616 -0.207 2.604
Si -1.849 -0.620 7.812
Si 0.000 0.000 0.000
Mg -1.233 -0.414 5.208
CELL_PARAMETERS angstrom
0.971 -2.038 3.757
-0.256 2.169 3.800
-3.181 -0.958 2.860
```

(4)
Density functional theory data (PBE) for a relaxed structure of ErTmCu2. Values from VASP.

Output
The total energy is -17.6 eV for the cell shown. The energy above the most stable polymorph in this dataset comes out at 0.03 eV per formula unit. The value obtained for the formation energy is -0.27 eV per atom. The calculation puts the volume at 82 Å³ per cell.

The structure in Quantum ESPRESSO input format:
```
&SYSTEM
  ibrav = 0, nat = 4, ntyp = 3
/
ATOMIC_SPECIES
Tm 168.93 Tm.upf
Er 167.26 Er.upf
Cu 63.55 Cu.upf
ATOMIC_POSITIONS angstrom
Tm -1.509 -3.882 0.958
Er -1.636 -4.372 4.543
Cu -0.776 -1.924 -1.077
Cu -2.366 -6.324 6.570
CELL_PARAMETERS angstrom
-1.183 -2.860 -3.179
0.415 -4.075 3.512
-2.967 -2.745 3.574
```

(5)
Density functional theory data (PBE) for a relaxed structure of LuAsOs. Values from VASP.

Output
The total energy is -20.9 eV for the cell shown. The calculation puts the volume at 61 Å³ per cell.

The structure in Quantum ESPRESSO input format:
```
&SYSTEM
  ibrav = 0, nat = 3, ntyp = 3
/
ATOMIC_SPECIES
Os 190.23 Os.upf
Lu 174.97 Lu.upf
As 74.92 As.upf
ATOMIC_POSITIONS angstrom
Os 0.000 0.000 0.000
Lu -7.874 -1.544 1.289
As -2.625 -0.515 0.430
CELL_PARAMETERS angstrom
-2.872 -2.372 2.386
-3.880 1.765 1.184
-3.746 -1.451 -1.852
```

(6)
Density functional theory data (PBE) for a relaxed structure of GdDyIn2Ni4. Values from VASP.

Output
The total energy is -40.7 eV for the cell shown. The energy above the most stable polymorph in this dataset comes out at 0.00 eV per formula unit. The calculation puts the volume at 144 Å³ per cell.

The structure in Quantum ESPRESSO input format:
```
&SYSTEM
  ibrav = 0, nat = 8, ntyp = 4
/
ATOMIC_SPECIES
Ni 58.69 Ni.upf
In 114.82 In.upf
Gd 157.25 Gd.upf
Dy 162.50 Dy.upf
ATOMIC_POSITIONS angstrom
Ni 0.000 1.285 7.017
Ni 0.000 3.827 7.017
Ni 2.004 2.556 0.787
Ni 2.004 0.000 6.234
In 0.000 0.000 4.544
In 0.000 2.556 2.494
Gd 2.004 0.000 1.885
Dy 2.004 2.556 5.156
CELL_PARAMETERS angstrom
4.009 0.000 0.000
0.000 5.112 0.000
0.000 0.000 7.027
```

(7)
Density functional theory data (PBE) for a relaxed structure of Y4Sc2Fe3C3. Values from VASP.

Output
The total energy is -184.5 eV for the cell shown. The calculation puts the volume at 443 Å³ per cell.

The structure in Quantum ESPRESSO input format:
```
&SYSTEM
  ibrav = 0, nat = 24, ntyp = 4
/
ATOMIC_SPECIES
Sc 44.96 Sc.upf
Y 88.91 Y.upf
C 12.01 C.upf
Fe 55.84 Fe.upf
ATOMIC_POSITIONS angstrom
Sc 4.397 -0.521 5.864
Sc 4.361 -0.521 1.069
Sc 2.637 0.521 12.797
Sc 2.601 0.521 8.003
Y 7.881 -0.484 5.490
Y 7.906 -0.514 1.442
Y 0.877 -0.484 1.443
Y 6.147 0.514 8.375
Y -0.883 0.484 8.376
Y 0.851 -0.514 5.491
Y -0.909 0.514 12.425
Y 6.121 0.484 12.424
C 2.629 -1.519 0.000
C 0.870 1.519 6.933
C 4.365 1.503 6.931
C 2.632 -1.503 6.936
C 4.392 1.503 0.003
C 2.606 -1.503 13.864
Fe 3.770 1.173 10.401
Fe 4.379 0.823 3.467
Fe 2.619 -0.823 10.400
Fe 3.228 -1.173 3.466
Fe 5.530 -1.173 3.467
Fe 1.468 1.173 10.399
CELL_PARAMETERS angstrom
5.259 -3.038 0.000
5.259 3.038 0.000
-3.519 0.000 13.867
```

(8)
Density functional theory data (PBE) for a relaxed structure of ReAg2PtS6. Values from VASP.

Output
The total energy is -43.4 eV for the cell shown. The calculation puts the volume at 212 Å³ per cell.

The structure in Quantum ESPRESSO input format:
```
&SYSTEM
  ibrav = 0, nat = 10, ntyp = 4
/
ATOMIC_SPECIES
S 32.06 S.upf
Ag 107.87 Ag.upf
Re 186.21 Re.upf
Pt 195.08 Pt.upf
ATOMIC_POSITIONS angstrom
S 0.245 -1.176 2.004
S 0.748 -3.587 6.111
S -1.571 -1.468 4.847
S 1.677 -0.525 5.003
S 2.564 -3.295 3.269
S 2.145 -2.951 9.038
Ag 3.954 -2.641 6.241
Ag -0.132 -0.836 7.800
Re 0.000 0.000 0.000
Pt 0.496 -2.381 4.058
CELL_PARAMETERS angstrom
-3.589 -0.576 5.617
4.582 -4.187 2.498
2.830 1.286 5.925
```

(9)
Density functional theory data (PBE) for a relaxed structure of KAg2IrSe4. Values from VASP.

Output
The total energy is -62.5 eV for the cell shown. The calculation puts the volume at 448 Å³ per cell.

The structure in Quantum ESPRESSO input format:
```
&SYSTEM
  ibrav = 0, nat = 16, ntyp = 4
/
ATOMIC_SPECIES
K 39.10 K.upf
Ag 107.87 Ag.upf
Ir 192.22 Ir.upf
Se 78.96 Se.upf
ATOMIC_POSITIONS angstrom
K 5.399 -3.597 2.251
K 1.800 3.597 2.251
Ag 3.599 0.000 0.148
Ag 5.399 2.388 4.001
Ag 0.000 0.000 0.148
Ag 1.800 -2.388 4.001
Ir 5.399 2.178 1.052
Ir 1.800 -2.178 1.052
Se 1.800 -0.261 2.421
Se 5.399 0.261 2.421
Se 5.399 4.300 2.180
Se 0.043 6.887 2.728
Se 3.556 6.887 2.728
Se 1.800 -4.300 2.180
Se 3.642 -6.887 2.728
Se 7.155 -6.887 2.728
CELL_PARAMETERS angstrom
7.198 0.000 0.000
0.000 9.369 3.322
0.000 -9.369 3.322
```

(10)
Density functional theory data (PBE) for a relaxed structure of LiZrAlCo. Values from VASP.

Output
The total energy is -21.4 eV for the cell shown. The energy above the most stable polymorph in this dataset comes out at 1.32 eV per formula unit. The calculation puts the volume at 59 Å³ per cell.

The structure in Quantum ESPRESSO input format:
```
&SYSTEM
  ibrav = 0, nat = 4, ntyp = 4
/
ATOMIC_SPECIES
Co 58.93 Co.upf
Zr 91.22 Zr.upf
Li 6.94 Li.upf
Al 26.98 Al.upf
ATOMIC_POSITIONS angstrom
Co -0.495 0.560 8.008
Zr -0.165 0.187 2.669
Li -0.330 0.374 5.339
Al 0.000 0.000 0.000
CELL_PARAMETERS angstrom
0.147 2.745 3.407
-2.565 -0.690 3.480
1.758 -1.308 3.790
```

(11)
Density functional theory data (PBE) for a relaxed structure of AlW4C2S. Values from VASP.

Output
The total energy is -77.2 eV for the cell shown. The calculation puts the volume at 107 Å³ per cell.

The structure in Quantum ESPRESSO input format:
```
&SYSTEM
  ibrav = 0, nat = 8, ntyp = 4
/
ATOMIC_SPECIES
W 183.84 W.upf
S 32.06 S.upf
C 12.01 C.upf
Al 26.98 Al.upf
ATOMIC_POSITIONS angstrom
W 1.543 0.891 10.742
W 0.000 0.000 4.506
W 0.000 0.000 8.406
W 1.543 0.891 2.170
S 1.543 0.891 6.456
C 0.000 1.782 3.334
C 0.000 1.782 9.578
Al 0.000 0.000 0.000
CELL_PARAMETERS angstrom
3.086 0.000 0.000
-1.543 2.673 0.000
0.000 0.000 12.912
```